The following is a GGA-PBE calculation of a relaxed structure of Li2PaCu2S4, from Alexandria via LeMat-Bulk.

Computed properties:
- M_tot: 1.013 μB per cell
- Raw formation energy: -1046 meV per atom

Cell and atoms, written as POSCAR:
```
Li2PaCu2S4
1.0
6.9547 -1.8490 0.0000
6.9547 1.8490 0.0000
-4.0005 0.0000 6.5493
Li Pa Cu S
2 1 2 4
Cartesian
1.0513 0.0000 1.3600
8.8575 0.0000 5.1893
-2.0003 0.0000 3.2747
4.0765 0.0000 0.7647
5.8323 0.0000 5.7846
0.1407 0.0000 4.9402
3.7173 0.0000 4.8914
6.1915 0.0000 1.6579
9.7681 0.0000 1.6092
```